[1]
Li2TaSe2 | PBE | optimized geometry

The density of states at the Fermi level comes out at 0.470 states/eV/atom. For the energy relative to the elements, uncorrected, the calculation gives -3.14 eV/f.u.

```
data_Li2TaSe2
_space_group_name_H-M_alt 'P 4/m b m'
_space_group_IT_number 127
_space_group_name_Hall '-P 4 2ab'
_cell_length_a 6.974
_cell_length_b 6.974
_cell_length_c 3.552
_cell_angle_alpha 90.00
_cell_angle_beta 90.00
_cell_angle_gamma 90.00
loop_
_atom_site_label
_atom_site_type_symbol
_atom_site_fract_x
_atom_site_fract_y
_atom_site_fract_z
Li1 Li 0.142 0.358 0.000
Ta1 Ta 0.000 0.000 0.500
Se1 Se 0.173 0.673 0.500
```



[2]
LiTaSe2 | PBE | optimized geometry

The density of states at the Fermi level comes out at 0.402 states/eV/atom. For the energy relative to the elements, uncorrected, the calculation gives -2.41 eV/f.u.

```
data_LiTaSe2
_space_group_name_H-M_alt 'P 4 m m'
_space_group_IT_number 99
_space_group_name_Hall 'P 4 -2'
_cell_length_a 3.764
_cell_length_b 3.764
_cell_length_c 5.183
_cell_angle_alpha 90.00
_cell_angle_beta 90.00
_cell_angle_gamma 90.00
loop_
_atom_site_label
_atom_site_type_symbol
_atom_site_fract_x
_atom_site_fract_y
_atom_site_fract_z
Li1 Li 0.000 0.000 0.000
Ta1 Ta 0.500 0.500 0.499
Se1 Se 0.000 0.000 0.500
Se2 Se 0.500 0.500 0.999
```



[3]
LiTaSe2 | PBE | optimized geometry

The density of states at the Fermi level comes out at 0.095 states/eV/atom. For the energy relative to the elements, uncorrected, the calculation gives -2.99 eV/f.u.

```
data_LiTaSe2
_space_group_name_H-M_alt 'P 1 2/m 1'
_space_group_IT_number 10
_space_group_name_Hall '-P 2y'
_cell_length_a 3.257
_cell_length_b 3.254
_cell_length_c 6.834
_cell_angle_alpha 90.00
_cell_angle_beta 99.57
_cell_angle_gamma 90.00
loop_
_atom_site_label
_atom_site_type_symbol
_atom_site_fract_x
_atom_site_fract_y
_atom_site_fract_z
Li1 Li 0.000 0.000 0.000
Ta1 Ta 0.000 0.000 0.500
Se1 Se 0.418 0.500 0.273
```



[4]
LiTaSe | PBE | optimized geometry

The density of states at the Fermi level comes out at 0.035 states/eV/atom. As for the polymorph energy (0 for the lowest one): 0 meV/atom. For the energy relative to the elements, uncorrected, the calculation gives -0.71 eV/f.u.

```
data_LiTaSe
_space_group_name_H-M_alt 'P 3 m 1'
_space_group_IT_number 156
_space_group_name_Hall 'P 3 -2"'
_cell_length_a 3.2160
_cell_length_b 3.2160
_cell_length_c 6.3865
_cell_angle_alpha 90.00
_cell_angle_beta 90.00
_cell_angle_gamma 120.00
loop_
_atom_site_label
_atom_site_type_symbol
_atom_site_fract_x
_atom_site_fract_y
_atom_site_fract_z
Li1 Li 0.0000 0.0000 0.0000
Ta1 Ta 0.6667 0.3333 0.6076
Se1 Se 0.3333 0.6667 0.3292
```



> Number 3 is which compound?

LiTaSe2



> The lowest energy relative to the elements, uncorrected belongs to which entry?

Li2TaSe2



> Look up the energy relative to the elements, uncorrected of the second one.

-2.41 eV/f.u.



> energy relative to the elements, uncorrected of number 1 (Li2TaSe2)?

-3.14 eV/f.u.